Entry from Alexandria via LeMat-Bulk: a relaxed structure of CeCdH8Ir2 (PBE).

CIF file:
```
data_CeCdH8Ir2
_space_group_name_H-M_alt 'R -3'
_space_group_IT_number 148
_space_group_name_Hall '-R 3'
_cell_length_a 4.8442
_cell_length_b 4.8442
_cell_length_c 17.7161
_cell_angle_alpha 90.00
_cell_angle_beta 90.00
_cell_angle_gamma 120.00
loop_
_atom_site_label
_atom_site_fract_x
_atom_site_fract_y
_atom_site_fract_z
_atom_site_occupancy
Ce1 0.0000 0.0000 0.0000 1
Cd1 0.0000 0.0000 0.5000 1
H1 0.0000 0.0000 0.3202 1
H2 0.0415 0.7501 0.8922 1
Ir1 0.0000 0.0000 0.2291 1
```

Output
mass density: 8.9 Mg/m³
E: -155.72 eV for the cell shown